Compound: Tl2ReBiOs
Source: Alexandria via LeMat-Bulk
Functional: PBE-GGA
Structure: optimized geometry

Calculated values
Formation energy from the elements (eV/atom): 1.733
Excess energy over the best structure of this formula in the dataset (eV per atom): 0.5675

Lattice parameters (Å, degrees): 5.3353 5.3353 5.1957 90.00 90.00 90.00
Last column: nearest neighbours and their distance in Å.
Space group P4/mmm (No. 123)
Symmetry-distinct sites (fractional):
1 Tl 0.0000 0.5000 0.0000 x2  2 Re 2.67
2 Re 0.0000 0.0000 0.0000 x1  2 Bi 2.60, 4 Tl 2.67
3 Bi 0.0000 0.0000 0.5000 x1  2 Re 2.60
4 Os 0.5000 0.5000 0.5000 x1  8 Tl 3.72, 4 Bi 3.77

Compound: Zn2ReBiOs
Source: Alexandria via LeMat-Bulk
Functional: PBE-GGA
Structure: optimized geometry

Calculated values
Formation energy from the elements (eV/atom): 1.026

Lattice parameters (Å, degrees): 4.8247 4.8247 4.7767 90.00 90.00 90.00
Last column: nearest neighbours and their distance in Å.
Space group P4/mmm (No. 123)
Symmetry-distinct sites (fractional):
1 Zn 0.0000 0.5000 0.0000 x2  2 Os 2.41
2 Re 0.0000 0.0000 0.5000 x1  2 Os 2.39
3 Bi 0.5000 0.5000 0.5000 x1  8 Zn 3.39, 4 Re 3.41
4 Os 0.0000 0.0000 0.0000 x1  2 Re 2.39, 4 Zn 2.41

Compound: BiOsRh2
Source: Alexandria via LeMat-Bulk
Functional: PBE-GGA
Structure: optimized geometry

Calculated values
Formation energy from the elements (eV/atom): 0.823

Lattice parameters (Å, degrees): 5.7120 5.7120 12.0881 90.00 90.00 90.00
Last column: nearest neighbours and their distance in Å.
Space group I-42d (No. 122)
Symmetry-distinct sites (fractional):
1 Bi 0.0000 0.0000 0.0000 x4  4 Rh 2.69
2 Os 0.0000 0.0000 0.5000 x4  4 Rh 2.38
3 Rh 0.2013 0.2500 0.6250 x8  2 Os 2.38

Compound: BiOsRh3
Source: Alexandria via LeMat-Bulk
Functional: PBE-GGA
Structure: optimized geometry

Calculated values
Formation energy from the elements (eV/atom): 1.017
Excess energy over the best structure of this formula in the dataset (eV per atom): 0.0000

Lattice parameters (Å, degrees): 4.7476 4.7476 4.7476 90.00 90.00 90.00
Last column: nearest neighbours and their distance in Å.
Space group Pm-3m (No. 221)
Symmetry-distinct sites (fractional):
1 Bi 0.0000 0.0000 0.0000 x1  12 Rh 3.36
2 Os 0.5000 0.5000 0.5000 x1  6 Rh 2.37
3 Rh 0.0000 0.5000 0.5000 x3  2 Os 2.37

Compound: Bi3OsRh
Source: Alexandria via LeMat-Bulk
Functional: PBE-GGA
Structure: optimized geometry

Calculated values
Formation energy from the elements (eV/atom): 1.089
Excess energy over the best structure of this formula in the dataset (eV per atom): 0.0000

Lattice parameters (Å, degrees): 5.2310 5.2310 5.2310 90.00 90.00 90.00
Last column: nearest neighbours and their distance in Å.
Space group Pm-3m (No. 221)
Symmetry-distinct sites (fractional):
1 Bi 0.0000 0.0000 0.5000 x3  2 Os 2.62
2 Os 0.0000 0.0000 0.0000 x1  6 Bi 2.62
3 Rh 0.5000 0.5000 0.5000 x1  12 Bi 3.70

Compound: Bi2OsRhSe
Source: Alexandria via LeMat-Bulk
Functional: PBE-GGA
Structure: optimized geometry

Calculated values
Excess energy over the best structure of this formula in the dataset (eV per atom): 0.3245

Lattice parameters (Å, degrees): 5.4887 5.4887 4.4668 90.00 90.00 90.00
Last column: nearest neighbours and their distance in Å.
Space group P4/mmm (No. 123)
Symmetry-distinct sites (fractional):
1 Bi 0.0000 0.5000 0.0000 x2  2 Se 2.74
2 Os 0.0000 0.0000 0.5000 x1  8 Bi 3.54, 4 Rh 3.88
3 Rh 0.5000 0.5000 0.5000 x1  2 Se 2.23
4 Se 0.5000 0.5000 0.0000 x1  2 Rh 2.23

Number 1: total energy -23.6 eV per cell. Number 2: total energy -25.0 eV per cell. Number 3: total energy -106.1 eV per cell. Number 4: total energy -32.1 eV per cell. Number 5: total energy -24.8 eV per cell. Number 6: total energy -22.7 eV per cell.